A PBEsol-optimized structure of RbBaBi. Source: Alexandria, functional SCAN.

Computed properties:
SG: Pnma (62)
Formation energy: -800 meV/atom

Unit cell a=5.8128 b=9.1916 c=10.3590 alpha=90.00 beta=90.00 gamma=90.00
Element x y z (fractional)
Bi (0.7500, 0.2211, 0.9033)
Bi (0.2500, 0.2789, 0.4033)
Bi (0.2500, 0.7789, 0.0967)
Bi (0.7500, 0.7211, 0.5967)
Rb (0.7500, 0.9880, 0.3163)
Rb (0.2500, 0.5120, 0.8163)
Rb (0.2500, 0.0120, 0.6837)
Rb (0.7500, 0.4880, 0.1837)
Ba (0.7500, 0.8386, 0.9157)
Ba (0.2500, 0.6614, 0.4157)
Ba (0.2500, 0.1614, 0.0843)
Ba (0.7500, 0.3386, 0.5843)

---

A PBEsol-optimized structure of CsTl2Sn2. Source: Alexandria, functional SCAN.

Computed properties:
SG: I4/mmm (139)
Formation energy: -174 meV/atom

Unit cell a=4.4466 b=4.4466 c=9.3506 alpha=103.76 beta=103.76 gamma=90.00
Element x y z (fractional)
Cs (0.0000, 0.0000, 0.0000)
Tl (0.3784, 0.3784, 0.7565)
Tl (0.6216, 0.6216, 0.2435)
Sn (0.2499, 0.7500, 0.5000)
Sn (0.7500, 0.2499, 0.5000)

---

A PBEsol-optimized structure of K2BaRhAu. Source: Alexandria, functional SCAN.

Computed properties:
SG: P4/mmm (123)
Formation energy: 171 meV/atom

Unit cell a=5.5508 b=5.7951 c=5.7951 alpha=90.00 beta=90.00 gamma=90.00
Element x y z (fractional)
Rh (0.0000, 0.0000, 0.0000)
K (0.0000, 0.0000, 0.5000)
K (0.0000, 0.5000, 0.0000)
Au (0.5000, 0.5000, 0.5000)
Ba (0.5000, 0.0000, 0.0000)

---

A PBEsol-optimized structure of NaPH3C2N3O4. Source: Alexandria, functional SCAN.

Computed properties:
SG: P2_1/c (14)

Unit cell a=6.7610 b=7.0133 c=12.4660 alpha=90.00 beta=90.00 gamma=106.31
Element x y z (fractional)
Na (0.7492, 0.0944, 0.5512)
Na (0.7508, 0.4056, 0.0512)
Na (0.2492, 0.5944, 0.9488)
Na (0.2508, 0.9056, 0.4488)
P (0.7939, 0.6032, 0.5813)
P (0.7061, 0.8968, 0.0813)
P (0.2939, 0.1032, 0.9187)
P (0.2061, 0.3968, 0.4187)
H (0.9467, 0.1190, 0.9271)
H (0.0659, 0.5737, 0.6975)
H (0.9520, 0.0250, 0.3774)
H (0.5480, 0.4750, 0.8774)
H (0.5533, 0.3810, 0.4271)
H (0.5659, 0.0737, 0.8025)
H (0.4341, 0.9263, 0.1975)
H (0.4467, 0.6190, 0.5729)
H (0.4520, 0.5250, 0.1226)
H (0.9341, 0.4263, 0.3025)
H (0.0480, 0.9750, 0.6226)
H (0.0533, 0.8810, 0.0729)
C (0.0101, 0.9255, 0.2297)
C (0.8220, 0.5368, 0.7968)
C (0.6780, 0.9632, 0.2968)
C (0.5101, 0.4255, 0.2703)
C (0.4899, 0.5745, 0.7297)
C (0.3220, 0.0368, 0.7032)
C (0.1780, 0.4632, 0.2032)
C (0.9899, 0.0745, 0.7703)
N (0.9106, 0.5722, 0.6980)
N (0.9371, 0.8858, 0.1290)
N (0.8804, 0.9644, 0.3060)
N (0.6196, 0.5356, 0.8060)
N (0.5629, 0.6142, 0.6290)
N (0.4106, 0.0722, 0.8020)
N (0.5894, 0.9278, 0.1980)
N (0.4371, 0.3858, 0.3710)
N (0.3804, 0.4644, 0.1940)
N (0.1196, 0.0356, 0.6940)
N (0.0629, 0.1142, 0.8710)
N (0.0894, 0.4278, 0.3020)
O (0.8108, 0.0707, 0.7428)
O (0.9147, 0.5068, 0.8787)
O (0.7423, 0.0771, 0.0103)
O (0.9050, 0.8018, 0.5330)
O (0.7577, 0.4229, 0.5103)
O (0.6892, 0.4293, 0.2428)
O (0.4147, 0.0068, 0.6213)
O (0.5950, 0.6982, 0.0330)
O (0.4050, 0.3018, 0.9670)
O (0.5853, 0.9932, 0.3787)
O (0.3108, 0.5707, 0.7572)
O (0.2423, 0.5771, 0.4897)
O (0.0950, 0.1982, 0.4670)
O (0.2577, 0.9229, 0.9897)
O (0.0853, 0.4932, 0.1213)
O (0.1892, 0.9293, 0.2572)

---

Record-wise total DFT energy (no corrections) values, in eV/atom: -47.09 -51.05 -31.66 -8.14